# 1
VASP calculation (GGA-PBE) on a relaxed BaIn2Co crystal. Values from VASP.

**Magnetic moment**: 1.47 μB/f.u.
**SG**: C2/m
**Fermi-level density of states**: 5.11 states/eV per cell
**Calculated formation energy**: 0.47 eV per atom
**Crystal system**: monoclinic

Geometry as Quantum ESPRESSO input:
```
&SYSTEM
  ibrav = 0, nat = 4, ntyp = 3
/
ATOMIC_SPECIES
Ba 137.33 Ba.upf
In 114.82 In.upf
Co 58.93 Co.upf
CELL_PARAMETERS angstrom
3.0650 -5.7964 0.0000
3.0650 5.7964 0.0000
-1.3948 0.0000 3.0905
ATOMIC_POSITIONS crystal
Ba 0.0000 0.0000 0.0000
In 0.0000 0.5000 0.5000
In 0.5000 0.0000 0.5000
Co 0.5000 0.5000 0.0000
```

# 2
VASP calculation (GGA-PBE) on a relaxed Ca2Zn3GaAg4 crystal. Values from VASP.

**Magnetic moment**: 0.00 μB/f.u.
**SG**: P-4m2
**Fermi-level density of states**: 5.70 states/eV per cell
**Calculated formation energy**: -0.20 eV per atom
**Crystal system**: tetragonal

Geometry as Quantum ESPRESSO input:
```
&SYSTEM
  ibrav = 0, nat = 10, ntyp = 4
/
ATOMIC_SPECIES
Ca 40.08 Ca.upf
Zn 65.41 Zn.upf
Ga 69.72 Ga.upf
Ag 107.87 Ag.upf
CELL_PARAMETERS angstrom
4.3142 0.0000 0.0000
0.0000 4.3142 0.0000
0.0000 0.0000 11.3205
ATOMIC_POSITIONS crystal
Ca 0.0000 0.5000 0.2503
Ca 0.5000 0.0000 0.7497
Zn 0.0000 0.0000 0.0000
Zn 0.0000 0.5000 0.6351
Zn 0.5000 0.0000 0.3649
Ga 0.5000 0.5000 0.0000
Ag 0.0000 0.0000 0.5000
Ag 0.0000 0.5000 0.8604
Ag 0.5000 0.0000 0.1396
Ag 0.5000 0.5000 0.5000
```

# 3
VASP calculation (GGA-PBE) on a relaxed Ca2TcW crystal. Values from VASP.

**Magnetic moment**: 0.00 μB/f.u.
**SG**: I-42d
**Fermi-level density of states**: 12.75 states/eV per cell
**Calculated formation energy**: 1.43 eV per atom
**Crystal system**: tetragonal

Geometry as Quantum ESPRESSO input:
```
&SYSTEM
  ibrav = 0, nat = 8, ntyp = 3
/
ATOMIC_SPECIES
Ca 40.08 Ca.upf
Tc 98.00 Tc.upf
W 183.84 W.upf
CELL_PARAMETERS angstrom
-4.0936 4.0936 2.6614
4.0936 -4.0936 2.6614
4.0936 4.0936 -2.6614
ATOMIC_POSITIONS crystal
Ca 0.1028 0.6250 0.9778
Ca 0.3750 0.3528 0.4778
Ca 0.6472 0.1250 0.0222
Ca 0.8750 0.8972 0.5222
Tc 0.0000 0.0000 0.0000
Tc 0.7500 0.2500 0.5000
W 0.2500 0.7500 0.5000
W 0.5000 0.5000 0.0000
```

# 4
VASP calculation (GGA-PBE) on a relaxed TbNd2Dy3As6 crystal. Values from VASP.

**Magnetic moment**: 0.00 μB/f.u.
**SG**: C2/m
**Fermi-level density of states**: 1.77 states/eV per cell
**Calculated formation energy**: -1.52 eV per atom
**Crystal system**: monoclinic

Geometry as Quantum ESPRESSO input:
```
&SYSTEM
  ibrav = 0, nat = 12, ntyp = 4
/
ATOMIC_SPECIES
Tb 158.93 Tb.upf
Nd 144.24 Nd.upf
Dy 162.50 Dy.upf
As 74.92 As.upf
CELL_PARAMETERS angstrom
9.0947 -2.0881 0.0000
9.0947 2.0881 0.0000
-1.9114 0.0000 8.1242
ATOMIC_POSITIONS crystal
Tb 0.0000 0.0000 0.0000
Nd 0.3341 0.3341 0.6677
Nd 0.6659 0.6659 0.3323
Dy 0.0000 0.0000 0.5000
Dy 0.3330 0.3330 0.1661
Dy 0.6670 0.6670 0.8339
As 0.1646 0.1646 0.5886
As 0.1666 0.1666 0.0768
As 0.4975 0.4975 0.2493
As 0.5025 0.5025 0.7507
As 0.8334 0.8334 0.9232
As 0.8354 0.8354 0.4114
```

# 5
VASP calculation (GGA-PBE) on a relaxed Ga2Mo4C crystal. Values from VASP.

**Magnetic moment**: 0.00 μB/f.u.
**SG**: I4/mmm
**Fermi-level density of states**: 4.64 states/eV per cell
**Calculated formation energy**: 0.22 eV per atom
**Crystal system**: tetragonal

Geometry as Quantum ESPRESSO input:
```
&SYSTEM
  ibrav = 0, nat = 7, ntyp = 3
/
ATOMIC_SPECIES
Ga 69.72 Ga.upf
Mo 95.94 Mo.upf
C 12.01 C.upf
CELL_PARAMETERS angstrom
-2.0361 2.0361 6.6316
2.0361 -2.0361 6.6316
2.0361 2.0361 -6.6316
ATOMIC_POSITIONS crystal
Ga 0.1460 0.1460 0.0000
Ga 0.8540 0.8540 0.0000
Mo 0.0000 0.5000 0.5000
Mo 0.3439 0.3439 0.0000
Mo 0.5000 0.0000 0.5000
Mo 0.6561 0.6561 0.0000
C 0.5000 0.5000 0.0000
```

# 6
VASP calculation (GGA-PBE) on a relaxed MnTcH3 crystal. Values from VASP.

**Magnetic moment**: 5.00 μB/f.u.
**SG**: Pm-3m
**Fermi-level density of states**: 1.90 states/eV per cell
**DFT total energy**: -5.688 eV/atom
**Crystal system**: cubic

Geometry as Quantum ESPRESSO input:
```
&SYSTEM
  ibrav = 0, nat = 5, ntyp = 3
/
ATOMIC_SPECIES
Mn 54.94 Mn.upf
Tc 98.00 Tc.upf
H 1.01 H.upf
CELL_PARAMETERS angstrom
3.4655 0.0000 0.0000
0.0000 3.4655 0.0000
0.0000 0.0000 3.4655
ATOMIC_POSITIONS crystal
Mn 0.0000 0.0000 0.0000
Tc 0.5000 0.5000 0.5000
H 0.0000 0.5000 0.5000
H 0.5000 0.0000 0.5000
H 0.5000 0.5000 0.0000
```

> Fermi-level density of states of number 3 (Ca2TcW)?

12.75 states/eV per cell